(1)
# Pm8Ir3PtCl4 (PBE, relaxed)
data_Pm8Ir3PtCl4
_chemical_formula_sum 'Pm8 Ir3 Pt1 Cl4'
_space_group_name_H-M_alt 'P 1'
_space_group_IT_number 1
_space_group_name_Hall 'P 1'
_cell_length_a 8.2625
_cell_length_b 8.8578
_cell_length_c 8.2608
_cell_angle_alpha 117.83
_cell_angle_beta 120.01
_cell_angle_gamma 90.00
loop_
_atom_site_label
_atom_site_type_symbol
_atom_site_fract_x
_atom_site_fract_y
_atom_site_fract_z
_atom_site_occupancy
Pm1 Pm 0.2377 0.7035 0.9662 1
Pm2 Pm 0.2377 0.7035 0.4753 1
Pm3 Pm 0.2652 0.2961 0.5305 1
Pm4 Pm 0.7285 0.7035 0.9662 1
Pm5 Pm 0.2715 0.2965 0.0338 1
Pm6 Pm 0.7348 0.7039 0.4695 1
Pm7 Pm 0.7623 0.2965 0.5247 1
Pm8 Pm 0.7623 0.2965 0.0338 1
Ir1 Ir 0.5000 0.5000 0.0000 1
Ir2 Ir 0.5000 0.5000 0.5000 1
Ir3 Ir 0.0000 0.5000 0.5000 1
Pt1 Pt 0.0000 0.5000 0.0000 1
Cl1 Cl 0.5000 0.0000 0.0000 1
Cl2 Cl 0.5000 0.0000 0.5000 1
Cl3 Cl 0.0000 0.0000 0.0000 1
Cl4 Cl 0.0000 0.0000 0.5000 1
# - Uncorrected formation energy: -1.25 eV per atom
# - Theoretical density: 7809 kg/m3
# - Final energy: -97.94 eV/cell


(2)
# CoBr3 (PBE, relaxed)
data_CoBr3
_chemical_formula_sum 'Co1 Br3'
_space_group_name_H-M_alt 'P 1'
_space_group_IT_number 1
_space_group_name_Hall 'P 1'
_cell_length_a 11.3134
_cell_length_b 11.3134
_cell_length_c 11.3134
_cell_angle_alpha 18.20
_cell_angle_beta 18.20
_cell_angle_gamma 18.20
loop_
_atom_site_label
_atom_site_type_symbol
_atom_site_fract_x
_atom_site_fract_y
_atom_site_fract_z
_atom_site_occupancy
Co1 Co 0.5000 0.5000 0.5000 1
Br1 Br 0.0000 0.0000 0.0000 1
Br2 Br 0.8781 0.8781 0.8781 1
Br3 Br 0.1219 0.1219 0.1219 1
# - Uncorrected formation energy: 0.00 eV per atom
# - Theoretical density: 4022 kg/m3
# - Final energy: -12.12 eV/cell


(3)
# Cs3La3PuSe8 (PBE, relaxed)
data_Cs3La3PuSe8
_chemical_formula_sum 'Cs3 La3 Pu1 Se8'
_space_group_name_H-M_alt 'P 1'
_space_group_IT_number 1
_space_group_name_Hall 'P 1'
_cell_length_a 8.8454
_cell_length_b 8.8447
_cell_length_c 9.9188
_cell_angle_alpha 116.50
_cell_angle_beta 90.00
_cell_angle_gamma 120.00
loop_
_atom_site_label
_atom_site_type_symbol
_atom_site_fract_x
_atom_site_fract_y
_atom_site_fract_z
_atom_site_occupancy
Cs1 Cs 0.0000 0.0000 0.0000 1
Cs2 Cs 0.0000 0.5000 0.0000 1
Cs3 Cs 0.5000 0.5000 0.0000 1
La1 La 0.5000 0.0000 0.5000 1
La2 La 0.5000 0.5000 0.5000 1
La3 La 0.0000 0.5000 0.5000 1
Pu1 Pu 0.0000 0.0000 0.5000 1
Se1 Se 0.2699 0.5398 0.3098 1
Se2 Se 0.7301 0.4602 0.6902 1
Se3 Se 0.7816 0.5633 0.3189 1
Se4 Se 0.2184 0.4367 0.6811 1
Se5 Se 0.7817 0.0371 0.3190 1
Se6 Se 0.2183 0.9629 0.6810 1
Se7 Se 0.2555 0.0371 0.3190 1
Se8 Se 0.7445 0.9629 0.6810 1
# - Uncorrected formation energy: -1.69 eV per atom
# - Theoretical density: 4876 kg/m3
# - Final energy: -84.96 eV/cell


(4)
# Cu3Ag2Pd8 (PBE, relaxed)
data_Cu3Ag2Pd8
_chemical_formula_sum 'Cu3 Ag2 Pd8'
_space_group_name_H-M_alt 'P 1'
_space_group_IT_number 1
_space_group_name_Hall 'P 1'
_cell_length_a 4.6740
_cell_length_b 6.6484
_cell_length_c 7.4990
_cell_angle_alpha 116.31
_cell_angle_beta 90.55
_cell_angle_gamma 90.00
loop_
_atom_site_label
_atom_site_type_symbol
_atom_site_fract_x
_atom_site_fract_y
_atom_site_fract_z
_atom_site_occupancy
Cu1 Cu 0.5000 0.0000 0.0000 1
Cu2 Cu 0.0000 0.1774 0.0000 1
Cu3 Cu 0.0000 0.8226 0.0000 1
Ag1 Ag 0.2137 0.3416 0.6831 1
Ag2 Ag 0.7863 0.6584 0.3169 1
Pd1 Pd 0.2630 0.5430 0.0860 1
Pd2 Pd 0.7370 0.4570 0.9140 1
Pd3 Pd 0.8070 0.1710 0.3420 1
Pd4 Pd 0.1930 0.8290 0.6580 1
Pd5 Pd 0.6913 0.6204 0.6586 1
Pd6 Pd 0.6913 0.0382 0.6586 1
Pd7 Pd 0.3087 0.9618 0.3414 1
Pd8 Pd 0.3087 0.3796 0.3414 1
# - Formation energy: 138 meV/atom
# - Theoretical density: 9999 kg/m3
# - Final energy: -57.73 eV/cell


Number 4 is which compound?
Cu3Ag2Pd8


Which of these has the lowest theoretical density?
CoBr3


final energy of number 3 (Cs3La3PuSe8)?
-84.96 eV/cell


Among the records above, which one has the highest final energy?
CoBr3